1.
# K8BiSb2

A relaxed structure of K8BiSb2 (PBE-GGA, Alexandria).

Summary:
Energy relative to the elements, uncorrected in eV/f.u.: -4.0
Distance to the lowest polymorph of the same formula in eV per atom: 0.000
Spin magnetization in μB/cell: 2.36
Total energy in eV/atom: -2.27

a b c (Å): 19.6878 5.9049 8.9922
angles (deg): 90.00 117.16 90.00
With the nearest neighbours (Å) after each atom.
Space group C2/m (No. 12)
Inequivalent atoms, fractional coordinates:
K: 0.0009 0.0000 0.2116 [4 per cell]  2 Sb 3.74-3.76, 7 K 3.79-4.04, 2 Bi 3.94
K: 0.1561 0.5000 0.9299 [4 per cell]  3 Sb 3.61-3.71, 1 Bi 3.68, 5 K 3.73-4.04
K: 0.1576 0.5000 0.3851 [4 per cell]  3 Sb 3.63-3.70, 1 Bi 3.69, 5 K 3.74-4.03
K: 0.1645 0.0000 0.6680 [4 per cell]  8 K 3.73-3.89, 2 Sb 3.96, 2 Bi 4.13
Bi: 0.0000 0.5000 0.5000 [2 per cell]  8 K 3.68-3.94
Sb: 0.1846 0.0000 0.1834 [4 per cell]  10 K 3.61-3.96



2.
# CuSiNi2

A relaxed structure of CuSiNi2 (PBE-GGA, Alexandria).

Summary:
Energy relative to the elements, uncorrected in eV/f.u.: 0.0
Spin magnetization in μB/cell: 0.00
Total energy in eV/atom: -5.28

a b c (Å): 6.3637 6.3637 4.8802
angles (deg): 90.00 90.00 90.00
With the nearest neighbours (Å) after each atom.
Space group I-42d (No. 122)
Inequivalent atoms, fractional coordinates:
Cu: 0.0000 0.0000 0.0000 [4 per cell]  2 Si 2.44, 4 Ni 2.46
Si: 0.0000 0.0000 0.5000 [4 per cell]  4 Ni 2.21, 2 Cu 2.44
Ni: 0.2221 0.2500 0.6250 [8 per cell]  2 Si 2.21, 2 Cu 2.46, 2 Ni 2.47



3.
# Tl2NiSe

A relaxed structure of Tl2NiSe (PBE-GGA, Alexandria).

Summary:
Energy relative to the elements, uncorrected in eV/f.u.: -0.7
Distance to the lowest polymorph of the same formula in eV per atom: 0.000
Spin magnetization in μB/cell: 0.00
Total energy in eV/atom: -3.67

a b c (Å): 6.9995 4.0377 7.8235
angles (deg): 90.00 107.26 90.00
With the nearest neighbours (Å) after each atom.
Space group Cm (No. 8)
Inequivalent atoms, fractional coordinates:
Tl: 0.0000 0.0000 0.0000 [2 per cell]  3 Ni 3.20, 3 Se 3.21
Tl: 0.1946 0.0000 0.5892 [2 per cell]  3 Se 3.20-3.21, 3 Ni 3.21-3.22
Ni: 0.4304 0.0000 0.2928 [2 per cell]  3 Se 2.33
Se: 0.2642 0.5000 0.2946 [2 per cell]  3 Ni 2.33